Record 1
First-principles (meta-GGA SCAN) data for a crystal of SrZnIr2 relaxed with PBEsol, as listed in the Alexandria database.

For the calculated formation energy, the calculation gives 0.40 eV/atom. The calculation puts the total energy at -352.8 eV for the cell shown.

The space group is I4/mmm (No. 139) and the conventional cell measures 4.128, 4.128 and 8.168 Å, with angles of 90.00, 90.00 and 90.00 degrees. The distinct sites, in fractional coordinates, are Sr at (0.000, 0.000, 0.000), Zn at (0.000, 0.000, 0.500) and Ir at (0.000, 0.500, 0.250).


Record 2
First-principles (meta-GGA SCAN) data for a crystal of SrZnIr2 relaxed with PBEsol, as listed in the Alexandria database.

For the calculated formation energy, the calculation gives 0.25 eV/atom. The calculation puts the total energy at -354.0 eV for the cell shown.

The space group is Immm (No. 71) and the conventional cell measures 2.933, 4.957 and 9.407 Å, with angles of 90.00, 90.00 and 90.00 degrees. The distinct sites, in fractional coordinates, are Sr at (0.000, 0.000, 0.000), Zn at (0.000, 0.000, 0.500) and Ir at (0.000, 0.500, 0.223).


Record 3
First-principles (meta-GGA SCAN) data for a crystal of SrZn3Ir relaxed with PBEsol, as listed in the Alexandria database.

For the calculated formation energy, the calculation gives -0.40 eV/atom. Its polymorph energy (0 for the lowest one) is 21 meV/atom. The calculation puts the total energy at -135.9 eV for the cell shown.

The space group is Pm-3m (No. 221) and the conventional cell measures 4.783, 4.783 and 4.783 Å, with angles of 90.00, 90.00 and 90.00 degrees. The distinct sites, in fractional coordinates, are Sr at (0.000, 0.000, 0.000), Zn at (0.000, 0.500, 0.500) and Ir at (0.500, 0.500, 0.500).


Record 4
First-principles (meta-GGA SCAN) data for a crystal of SrZrIr2 relaxed with PBEsol, as listed in the Alexandria database.

For the calculated formation energy, the calculation gives -0.04 eV/atom. Its polymorph energy (0 for the lowest one) is 616 meV/atom. The calculation puts the total energy at -195.3 eV for the cell shown.

The space group is Pmm2 (No. 25) and the conventional cell measures 3.122, 4.235 and 6.437 Å, with angles of 90.00, 90.00 and 90.00 degrees. The distinct sites, in fractional coordinates, are Sr at (0.000, 0.000, 0.000), Zr at (0.500, 0.500, 0.401), Ir at (0.000, 0.000, 0.508) and Ir at (0.500, 0.500, 0.777).


Record 5
First-principles (meta-GGA SCAN) data for a crystal of SrZr2Ir relaxed with PBEsol, as listed in the Alexandria database.

For the calculated formation energy, the calculation gives -0.22 eV/atom. The calculation puts the total energy at -311.3 eV for the cell shown.

The space group is Immm (No. 71) and the conventional cell measures 3.252, 5.374 and 10.743 Å, with angles of 90.00, 90.00 and 90.00 degrees. The distinct sites, in fractional coordinates, are Sr at (0.000, 0.000, 0.000), Zr at (0.000, 0.500, 0.199) and Ir at (0.000, 0.000, 0.500).


Record 6
First-principles (meta-GGA SCAN) data for a crystal of SrZrIr2 relaxed with PBEsol, as listed in the Alexandria database.

For the calculated formation energy, the calculation gives -0.65 eV/atom. Its polymorph energy (0 for the lowest one) is 0 meV/atom. The calculation puts the total energy at -197.8 eV for the cell shown.

The space group is P4/mmm (No. 123) and the conventional cell measures 3.242, 3.242 and 7.469 Å, with angles of 90.00, 90.00 and 90.00 degrees. The distinct sites, in fractional coordinates, are Sr at (0.000, 0.000, 0.000), Zr at (0.000, 0.000, 0.500) and Ir at (0.500, 0.500, 0.295).


Record 7
First-principles (meta-GGA SCAN) data for a crystal of TaIr relaxed with PBEsol, as listed in the Alexandria database.

For the calculated formation energy, the calculation gives -0.33 eV/atom. The calculation puts the total energy at -1106.8 eV for the cell shown.

The space group is Fd-3m (No. 227, origin choice 2) and the conventional cell measures 6.304, 6.304 and 6.304 Å, with angles of 90.00, 90.00 and 90.00 degrees. The distinct sites, in fractional coordinates, are Ta at (0.125, 0.125, 0.125) and Ir at (0.125, 0.125, 0.625).


Record 8
First-principles (meta-GGA SCAN) data for a crystal of TaIr5 relaxed with PBEsol, as listed in the Alexandria database.

For the calculated formation energy, the calculation gives -0.42 eV/atom. The calculation puts the total energy at -424.6 eV for the cell shown.

The space group is P-62m (No. 189) and the conventional cell measures 4.7852, 4.7852 and 4.3941 Å, with angles of 90.00, 90.00 and 120.00 degrees. The distinct sites, in fractional coordinates, are Ta at (0.0000, 0.0000, 0.0000), Ir at (0.0000, 0.6555, 0.5000) and Ir at (0.3333, 0.6667, 0.0000).


Record 9
First-principles (meta-GGA SCAN) data for a crystal of TaIr relaxed with PBEsol, as listed in the Alexandria database.

For the calculated formation energy, the calculation gives -0.49 eV/atom. The calculation puts the total energy at -277.3 eV for the cell shown.

The space group is P6_3/mmc (No. 194) and the conventional cell measures 3.9239, 3.9239 and 5.3862 Å, with angles of 90.00, 90.00 and 120.00 degrees. The distinct sites, in fractional coordinates, are Ta at (0.3333, 0.6667, 0.2500) and Ir at (0.0000, 0.0000, 0.0000).


Record 10
First-principles (meta-GGA SCAN) data for a crystal of Ta4Ir relaxed with PBEsol, as listed in the Alexandria database.

For the calculated formation energy, the calculation gives -0.38 eV/atom. The calculation puts the total energy at -678.7 eV for the cell shown.

The space group is I4/m (No. 87) and the conventional cell measures 7.125, 7.125 and 3.304 Å, with angles of 90.00, 90.00 and 90.00 degrees. The distinct sites, in fractional coordinates, are Ta at (0.100, 0.298, 0.000) and Ir at (0.000, 0.000, 0.500).


Record 11
First-principles (meta-GGA SCAN) data for a crystal of Ta3Ir relaxed with PBEsol, as listed in the Alexandria database.

For the calculated formation energy, the calculation gives -0.03 eV/atom. The calculation puts the total energy at -271.0 eV for the cell shown.

The space group is P-6m2 (No. 187) and the conventional cell measures 2.8426, 2.8426 and 9.5967 Å, with angles of 90.00, 90.00 and 120.00 degrees. The distinct sites, in fractional coordinates, are Ta at (0.0000, 0.0000, 0.0000), Ta at (0.6667, 0.3333, 0.2653) and Ir at (0.0000, 0.0000, 0.5000).


Record 12
First-principles (meta-GGA SCAN) data for a crystal of TaIr7 relaxed with PBEsol, as listed in the Alexandria database.

For the calculated formation energy, the calculation gives -0.36 eV/atom. The calculation puts the total energy at -2268.6 eV for the cell shown.

The space group is Fm-3m (No. 225) and the conventional cell measures 7.714, 7.714 and 7.714 Å, with angles of 90.00, 90.00 and 90.00 degrees. The distinct sites, in fractional coordinates, are Ta at (0.000, 0.000, 0.000), Ir at (0.000, 0.000, 0.500) and Ir at (0.000, 0.250, 0.250).


Record 13
First-principles (meta-GGA SCAN) data for a crystal of TaIr relaxed with PBEsol, as listed in the Alexandria database.

For the calculated formation energy, the calculation gives -0.40 eV/atom. The calculation puts the total energy at -830.9 eV for the cell shown.

The space group is Cm (No. 8) and the conventional cell measures 10.132, 2.874 and 6.836 Å, with angles of 90.00, 107.94 and 90.00 degrees. The distinct sites, in fractional coordinates, are Ta at (0.000, 0.000, 0.000), Ta at (0.136, 0.500, 0.363), Ta at (0.285, 0.000, 0.074), Ir at (0.104, 0.500, 0.742), Ir at (0.320, 0.000, 0.679) and Ir at (0.420, 0.500, 0.414).


Record 14
First-principles (meta-GGA SCAN) data for a crystal of TaIr relaxed with PBEsol, as listed in the Alexandria database.

For the calculated formation energy, the calculation gives -0.70 eV/atom. The calculation puts the total energy at -278.2 eV for the cell shown.

The space group is Pmma (No. 51) and the conventional cell measures 4.596, 2.816 and 4.849 Å, with angles of 90.00, 90.00 and 90.00 degrees. The distinct sites, in fractional coordinates, are Ta at (0.250, 0.000, 0.196) and Ir at (0.250, 0.500, 0.689).


Record 15
First-principles (meta-GGA SCAN) data for a crystal of TaIr relaxed with PBEsol, as listed in the Alexandria database.

For the calculated formation energy, the calculation gives -0.72 eV/atom. The calculation puts the total energy at -556.5 eV for the cell shown.

The space group is Pnma (No. 62) and the conventional cell measures 5.167, 4.466 and 5.508 Å, with angles of 90.00, 90.00 and 90.00 degrees. The distinct sites, in fractional coordinates, are Ta at (0.138, 0.250, 0.116) and Ir at (0.079, 0.250, 0.636).


Record 16
First-principles (meta-GGA SCAN) data for a crystal of TaIr relaxed with PBEsol, as listed in the Alexandria database.

For the calculated formation energy, the calculation gives -0.67 eV/atom. The calculation puts the total energy at -1668.2 eV for the cell shown.

The space group is Pbcm (No. 57) and the conventional cell measures 9.556, 7.584 and 5.324 Å, with angles of 90.00, 90.00 and 90.00 degrees. The distinct sites, in fractional coordinates, are Ta at (0.133, 0.049, 0.250), Ta at (0.327, 0.648, 0.250), Ta at (0.365, 0.250, 0.000), Ir at (0.084, 0.750, 0.000), Ir at (0.132, 0.087, 0.750) and Ir at (0.445, 0.543, 0.750).


Record 17
First-principles (meta-GGA SCAN) data for a crystal of Ta2Ir3 relaxed with PBEsol, as listed in the Alexandria database.

For the calculated formation energy, the calculation gives -0.66 eV/atom. Its polymorph energy (0 for the lowest one) is 0 meV/atom. The calculation puts the total energy at -2798.0 eV for the cell shown.

The space group is Fdd2 (No. 43) and the conventional cell measures 9.416, 13.294 and 4.951 Å, with angles of 90.00, 90.00 and 90.00 degrees. The distinct sites, in fractional coordinates, are Ta at (0.038, 0.302, 0.000), Ir at (0.000, 0.000, 0.431) and Ir at (0.054, 0.400, 0.466).


Record 18
First-principles (meta-GGA SCAN) data for a crystal of Ta14Ir relaxed with PBEsol, as listed in the Alexandria database.

For the calculated formation energy, the calculation gives -0.14 eV/atom. The calculation puts the total energy at -2010.7 eV for the cell shown.

The space group is P4_2/mnm (No. 136) and the conventional cell measures 10.033, 10.033 and 5.277 Å, with angles of 90.00, 90.00 and 90.00 degrees. The distinct sites, in fractional coordinates, are Ta at (0.036, 0.370, 0.000), Ta at (0.066, 0.258, 0.500), Ta at (0.102, 0.102, 0.000), Ta at (0.182, 0.818, 0.247) and Ir at (0.000, 0.000, 0.500).


Record 19
First-principles (meta-GGA SCAN) data for a crystal of Ta4Ir3 relaxed with PBEsol, as listed in the Alexandria database.

For the calculated formation energy, the calculation gives -0.61 eV/atom. The calculation puts the total energy at -483.9 eV for the cell shown.

The space group is P6/mmm (No. 191) and the conventional cell measures 5.1695, 5.1695 and 4.9128 Å, with angles of 90.00, 90.00 and 120.00 degrees. The distinct sites, in fractional coordinates, are Ta at (0.0000, 0.0000, 0.2487), Ta at (0.3333, 0.6667, 0.0000) and Ir at (0.0000, 0.5000, 0.5000).


Record 20
First-principles (meta-GGA SCAN) data for a crystal of Ta3Ir relaxed with PBEsol, as listed in the Alexandria database.

For the calculated formation energy, the calculation gives -0.05 eV/atom. The calculation puts the total energy at -813.2 eV for the cell shown.

The space group is R-3m (No. 166, hexagonal axes) and the conventional cell measures 2.9555, 2.9555 and 27.0992 Å, with angles of 90.00, 90.00 and 120.00 degrees. The distinct sites, in fractional coordinates, are Ta at (0.0000, 0.0000, 0.0000), Ta at (0.0000, 0.0000, 0.2460) and Ir at (0.0000, 0.0000, 0.5000).


Record 21
First-principles (meta-GGA SCAN) data for a crystal of Ta3Ir2 relaxed with PBEsol, as listed in the Alexandria database.

For the calculated formation energy, the calculation gives -0.60 eV/atom. The calculation puts the total energy at -2069.7 eV for the cell shown.

The space group is P4_2/mnm (No. 136) and the conventional cell measures 9.797, 9.797 and 5.062 Å, with angles of 90.00, 90.00 and 90.00 degrees. The distinct sites, in fractional coordinates, are Ta at (0.000, 0.000, 0.000), Ta at (0.040, 0.364, 0.500), Ta at (0.180, 0.820, 0.252), Ir at (0.071, 0.268, 0.000) and Ir at (0.099, 0.099, 0.500).


Record 22
First-principles (meta-GGA SCAN) data for a crystal of Ta8Ir relaxed with PBEsol, as listed in the Alexandria database.

For the calculated formation energy, the calculation gives -0.24 eV/atom. The calculation puts the total energy at -1211.9 eV for the cell shown.

The space group is I4/mmm (No. 139) and the conventional cell measures 9.655, 9.655 and 3.301 Å, with angles of 90.00, 90.00 and 90.00 degrees. The distinct sites, in fractional coordinates, are Ta at (0.000, 0.332, 0.000), Ta at (0.165, 0.165, 0.500) and Ir at (0.000, 0.000, 0.000).


Record 23
First-principles (meta-GGA SCAN) data for a crystal of Ta2Ir3 relaxed with PBEsol, as listed in the Alexandria database.

For the calculated formation energy, the calculation gives -0.39 eV/atom. Its polymorph energy (0 for the lowest one) is 267 meV/atom. The calculation puts the total energy at -348.4 eV for the cell shown.

The space group is P-3m1 (No. 164) and the conventional cell measures 4.2888, 4.2888 and 5.4014 Å, with angles of 90.00, 90.00 and 120.00 degrees. The distinct sites, in fractional coordinates, are Ta at (0.3333, 0.6667, 0.3127), Ir at (0.0000, 0.0000, 0.5000) and Ir at (0.3333, 0.6667, 0.8408).


Record 24
First-principles (meta-GGA SCAN) data for a crystal of TaIr relaxed with PBEsol, as listed in the Alexandria database.

For the calculated formation energy, the calculation gives -0.66 eV/atom. The calculation puts the total energy at -556.0 eV for the cell shown.

The space group is I4_1/amd (No. 141, origin choice 2) and the conventional cell measures 3.891, 3.891 and 8.287 Å, with angles of 90.00, 90.00 and 90.00 degrees. The distinct sites, in fractional coordinates, are Ta at (0.000, 0.250, 0.375) and Ir at (0.000, 0.250, 0.875).